A relaxed SrYGaPb crystal, computed with PBE.

The value obtained for the density of states at the Fermi level is 2.3 states/eV/f.u. The formation energy comes out at -390.4 meV/atom. The value obtained for the volume is 28.96 A^3/atom.

The structure belongs to space group F-43m (No. 216); the cell edges are 7.7380, 7.7380 and 7.7380 Å and the angles 90.00°, 90.00° and 90.00°. The distinct sites, in fractional coordinates, are Sr at (0.0000, 0.0000, 0.0000), Y at (0.0000, 0.0000, 0.5000), Ga at (0.2500, 0.2500, 0.2500) and Pb at (0.2500, 0.2500, 0.7500).